# 1
The following is a PBE-GGA calculation of LiLuHfPt after structural relaxation, from Alexandria.

Summary:
Raw total energy = -6.163 eV per atom
ΔH_f (0 K) = -12.8 kcal/mol of atoms
V = 76 Å³/f.u.
Total moment = 0.00 μB per atom

Cell and atoms, written as CIF:
```
data_LiLuHfPt
_chemical_formula_sum 'Li4 Lu4 Hf4 Pt4'
_cell_length_a 6.738
_cell_length_b 6.738
_cell_length_c 6.738
_cell_angle_alpha 90.00
_cell_angle_beta 90.00
_cell_angle_gamma 90.00
_symmetry_space_group_name_H-M 'F -4 3 m'
_symmetry_Int_Tables_number 216
_symmetry_space_group_name_Hall 'F -4 2 3'
loop_
_atom_site_label
_atom_site_fract_x
_atom_site_fract_y
_atom_site_fract_z
_atom_site_occupancy
Li1 0.000 0.000 0.000 1
Lu1 0.250 0.250 0.250 1
Hf1 0.250 0.250 0.750 1
Pt1 0.000 0.000 0.500 1
```

# 2
The following is a PBE-GGA calculation of LiLuHfRe after structural relaxation, from Alexandria.

Summary:
Raw total energy = -7.306 eV per atom
ΔH_f (0 K) = -2.2 kcal/mol of atoms
V = 74 Å³/f.u.
Total moment = 0.00 μB per atom

Cell and atoms, written as CIF:
```
data_LiLuHfRe
_chemical_formula_sum 'Li4 Lu4 Hf4 Re4'
_cell_length_a 6.677
_cell_length_b 6.677
_cell_length_c 6.677
_cell_angle_alpha 90.00
_cell_angle_beta 90.00
_cell_angle_gamma 90.00
_symmetry_space_group_name_H-M 'F -4 3 m'
_symmetry_Int_Tables_number 216
_symmetry_space_group_name_Hall 'F -4 2 3'
loop_
_atom_site_label
_atom_site_fract_x
_atom_site_fract_y
_atom_site_fract_z
_atom_site_occupancy
Li1 0.000 0.000 0.000 1
Lu1 0.250 0.250 0.250 1
Hf1 0.250 0.250 0.750 1
Re1 0.000 0.000 0.500 1
```

# 3
The following is a PBE-GGA calculation of LiLuHfRh after structural relaxation, from Alexandria.

Summary:
Raw total energy = -6.366 eV per atom
ΔH_f (0 K) = -9.9 kcal/mol of atoms
V = 74 Å³/f.u.
Total moment = 0.00 μB per atom

Cell and atoms, written as CIF:
```
data_LiLuHfRh
_chemical_formula_sum 'Li4 Lu4 Hf4 Rh4'
_cell_length_a 6.676
_cell_length_b 6.676
_cell_length_c 6.676
_cell_angle_alpha 90.00
_cell_angle_beta 90.00
_cell_angle_gamma 90.00
_symmetry_space_group_name_H-M 'F -4 3 m'
_symmetry_Int_Tables_number 216
_symmetry_space_group_name_Hall 'F -4 2 3'
loop_
_atom_site_label
_atom_site_fract_x
_atom_site_fract_y
_atom_site_fract_z
_atom_site_occupancy
Li1 0.000 0.000 0.000 1
Lu1 0.250 0.250 0.250 1
Hf1 0.250 0.250 0.750 1
Rh1 0.000 0.000 0.500 1
```

# 4
The following is a PBE-GGA calculation of Li2HfMg after structural relaxation, from Alexandria.

Summary:
Raw total energy = -3.256 eV per atom
ΔH_f (0 K) = 13.6 kcal/mol of atoms
V = 80 Å³/f.u.
Total moment = 0.00 μB per atom

Cell and atoms, written as CIF:
```
data_Li2HfMg
_chemical_formula_sum 'Li8 Hf4 Mg4'
_cell_length_a 7.383
_cell_length_b 7.383
_cell_length_c 5.902
_cell_angle_alpha 90.00
_cell_angle_beta 90.00
_cell_angle_gamma 90.00
_symmetry_space_group_name_H-M 'I -4 2 d'
_symmetry_Int_Tables_number 122
_symmetry_space_group_name_Hall 'I -4 2bw'
loop_
_atom_site_label
_atom_site_fract_x
_atom_site_fract_y
_atom_site_fract_z
_atom_site_occupancy
Li1 0.232 0.250 0.125 1
Hf1 0.000 0.000 0.500 1
Mg1 0.000 0.000 0.000 1
```

# 5
The following is a PBE-GGA calculation of LiHfMg after structural relaxation, from Alexandria.

Summary:
Raw total energy = -4.283 eV per atom
ΔH_f (0 K) = 4.7 kcal/mol of atoms
V = 61 Å³/f.u.
Total moment = 0.00 μB per atom

Cell and atoms, written as CIF:
```
data_LiHfMg
_chemical_formula_sum 'Li2 Hf2 Mg2'
_cell_length_a 3.023
_cell_length_b 3.023
_cell_length_c 13.410
_cell_angle_alpha 90.00
_cell_angle_beta 90.00
_cell_angle_gamma 90.00
_symmetry_space_group_name_H-M 'I 4 m m'
_symmetry_Int_Tables_number 107
_symmetry_space_group_name_Hall 'I 4 -2'
loop_
_atom_site_label
_atom_site_fract_x
_atom_site_fract_y
_atom_site_fract_z
_atom_site_occupancy
Li1 0.000 0.000 0.000 1
Hf1 0.000 0.000 0.669 1
Mg1 0.000 0.000 0.342 1
```

# 6
The following is a PBE-GGA calculation of Li3HfMg after structural relaxation, from Alexandria.

Summary:
Raw total energy = -2.644 eV per atom
ΔH_f (0 K) = 18.8 kcal/mol of atoms
V = 101 Å³/f.u.
Total moment = 0.20 μB per atom

Cell and atoms, written as CIF:
```
data_Li3HfMg
_chemical_formula_sum 'Li3 Hf1 Mg1'
_cell_length_a 4.650
_cell_length_b 4.650
_cell_length_c 4.650
_cell_angle_alpha 90.00
_cell_angle_beta 90.00
_cell_angle_gamma 90.00
_symmetry_space_group_name_H-M 'P m -3 m'
_symmetry_Int_Tables_number 221
_symmetry_space_group_name_Hall '-P 4 2 3'
loop_
_atom_site_label
_atom_site_fract_x
_atom_site_fract_y
_atom_site_fract_z
_atom_site_occupancy
Li1 0.000 0.000 0.500 1
Hf1 0.500 0.500 0.500 1
Mg1 0.000 0.000 0.000 1
```

# 7
The following is a PBE-GGA calculation of Li2HfMg after structural relaxation, from Alexandria.

Summary:
Raw total energy = -3.618 eV per atom
ΔH_f (0 K) = 5.2 kcal/mol of atoms
V = 85 Å³/f.u.
Total moment = 0.00 μB per atom

Cell and atoms, written as CIF:
```
data_Li2HfMg
_chemical_formula_sum 'Li6 Hf3 Mg3'
_cell_length_a 2.9717
_cell_length_b 2.9717
_cell_length_c 33.2301
_cell_angle_alpha 90.00
_cell_angle_beta 90.00
_cell_angle_gamma 120.00
_symmetry_space_group_name_H-M 'R -3 m'
_symmetry_Int_Tables_number 166
_symmetry_space_group_name_Hall '-R 3 2"'
loop_
_atom_site_label
_atom_site_fract_x
_atom_site_fract_y
_atom_site_fract_z
_atom_site_occupancy
Li1 0.0000 0.0000 0.0871 1
Hf1 0.0000 0.0000 0.0000 1
Mg1 0.0000 0.0000 0.5000 1
```

# 8
The following is a PBE-GGA calculation of Li3HfMg12 after structural relaxation, from Alexandria.

Summary:
Raw total energy = -2.155 eV per atom
ΔH_f (0 K) = 0.5 kcal/mol of atoms
V = 351 Å³/f.u.
Total moment = 0.00 μB per atom

Cell and atoms, written as CIF:
```
data_Li3HfMg12
_chemical_formula_sum 'Li3 Hf1 Mg12'
_cell_length_a 4.408
_cell_length_b 4.408
_cell_length_c 18.078
_cell_angle_alpha 90.00
_cell_angle_beta 90.00
_cell_angle_gamma 90.00
_symmetry_space_group_name_H-M 'P 4/m m m'
_symmetry_Int_Tables_number 123
_symmetry_space_group_name_Hall '-P 4 2'
loop_
_atom_site_label
_atom_site_fract_x
_atom_site_fract_y
_atom_site_fract_z
_atom_site_occupancy
Li1 0.000 0.000 0.000 1
Li2 0.000 0.000 0.250 1
Hf1 0.000 0.000 0.500 1
Mg1 0.000 0.500 0.123 1
Mg2 0.000 0.500 0.375 1
Mg3 0.500 0.500 0.000 1
Mg4 0.500 0.500 0.246 1
Mg5 0.500 0.500 0.500 1
```

# 9
The following is a PBE-GGA calculation of LiHf3Mg after structural relaxation, from Alexandria.

Summary:
Raw total energy = -5.915 eV per atom
ΔH_f (0 K) = 17.5 kcal/mol of atoms
V = 108 Å³/f.u.
Total moment = 0.00 μB per atom

Cell and atoms, written as CIF:
```
data_LiHf3Mg
_chemical_formula_sum 'Li1 Hf3 Mg1'
_cell_length_a 4.763
_cell_length_b 4.763
_cell_length_c 4.763
_cell_angle_alpha 90.00
_cell_angle_beta 90.00
_cell_angle_gamma 90.00
_symmetry_space_group_name_H-M 'P m -3 m'
_symmetry_Int_Tables_number 221
_symmetry_space_group_name_Hall '-P 4 2 3'
loop_
_atom_site_label
_atom_site_fract_x
_atom_site_fract_y
_atom_site_fract_z
_atom_site_occupancy
Li1 0.000 0.000 0.000 1
Hf1 0.000 0.000 0.500 1
Mg1 0.500 0.500 0.500 1
```

# 10
The following is a PBE-GGA calculation of LiHfMg after structural relaxation, from Alexandria.

Summary:
Raw total energy = -4.345 eV per atom
ΔH_f (0 K) = 3.3 kcal/mol of atoms
V = 63 Å³/f.u.
Total moment = 0.00 μB per atom

Cell and atoms, written as CIF:
```
data_LiHfMg
_chemical_formula_sum 'Li1 Hf1 Mg1'
_cell_length_a 3.0193
_cell_length_b 3.0193
_cell_length_c 8.0431
_cell_angle_alpha 90.00
_cell_angle_beta 90.00
_cell_angle_gamma 120.00
_symmetry_space_group_name_H-M 'P 3 m 1'
_symmetry_Int_Tables_number 156
_symmetry_space_group_name_Hall 'P 3 -2"'
loop_
_atom_site_label
_atom_site_fract_x
_atom_site_fract_y
_atom_site_fract_z
_atom_site_occupancy
Li1 0.0000 0.0000 0.0000 1
Hf1 0.6667 0.3333 0.3371 1
Mg1 0.3333 0.6667 0.6724 1
```